1.
Here is a relaxed structure of CaDy4Ni4 from Alexandria. Energies are from PBE.

The density of states at the Fermi level is 0.81 states/eV/atom. The formation energy is -21.6 kJ per mole of atoms.

Unit cell a=8.7789 b=8.7789 c=5.4516 alpha=90.00 beta=90.00 gamma=90.00
Closest atoms and distances in Å follow each position.
Space group P4_2/n (No. 86, origin choice 2)
One atom of each set of equivalent atoms:
1 Ca 0.2500 0.2500 0.2500 x2  4 Ni 2.88
2 Dy 0.0763 0.6582 0.1480 x8  5 Ni 2.68-2.96
3 Ni 0.0380 0.6093 0.6404 x8  1 Ni 2.54, 4 Dy 2.68-2.82

=====

2.
Here is a relaxed structure of VBN3 from Alexandria. Energies are from PBE.

The density of states at the Fermi level is 0.55 states/eV/atom. Its formation energy (no corrections) is 1.624 eV/atom.

Unit cell a=3.8062 b=3.8062 c=3.8062 alpha=90.00 beta=90.00 gamma=90.00
Closest atoms and distances in Å follow each position.
Space group Pm-3m (No. 221)
One atom of each set of equivalent atoms:
1 V 0.0000 0.0000 0.0000 x1  6 N 1.90
2 B 0.5000 0.5000 0.5000 x1  12 N 2.69
3 N 0.0000 0.0000 0.5000 x3  2 V 1.90

=====

3.
Here is a relaxed structure of Na3AgSe4 from Alexandria. Energies are from PBE.

The density of states at the Fermi level is 0.74 states/eV/atom. Its formation energy (no corrections) is -0.573 eV/atom.

Unit cell a=4.5484 b=5.8057 c=16.1183 alpha=90.00 beta=90.00 gamma=90.00
Closest atoms and distances in Å follow each position.
Space group Immm (No. 71)
One atom of each set of equivalent atoms:
1 Na 0.0000 0.0000 0.0000 x2  8 Se 3.33, 4 Ag 3.69
2 Na 0.0000 0.5000 0.1965 x4  6 Se 3.00-3.11
3 Ag 0.0000 0.0000 0.5000 x2  4 Se 2.62
4 Se 0.0000 0.2779 0.3722 x8  1 Se 2.58, 1 Ag 2.62

=====

4.
Here is a relaxed structure of TmTlPdAu from Alexandria. Energies are from PBE.

The density of states at the Fermi level is 0.56 states/eV/atom. The formation energy is -56.1 kJ per mole of atoms.

Unit cell a=6.9127 b=6.9127 c=6.9127 alpha=90.00 beta=90.00 gamma=90.00
Closest atoms and distances in Å follow each position.
Space group F-43m (No. 216)
One atom of each set of equivalent atoms:
1 Tm 0.0000 0.0000 0.0000 x4  4 Pd 2.99, 4 Au 2.99
2 Tl 0.0000 0.0000 0.5000 x4  4 Au 2.99, 4 Pd 2.99
3 Pd 0.2500 0.2500 0.7500 x4  4 Tl 2.99, 4 Tm 2.99
4 Au 0.2500 0.2500 0.2500 x4  4 Tm 2.99, 4 Tl 2.99

=====

5.
Here is a relaxed structure of MnAlHg4 from Alexandria. Energies are from PBE.

The density of states at the Fermi level is 0.35 states/eV/atom. The formation energy is 50.4 kJ per mole of atoms.

Unit cell a=8.3276 b=8.3276 c=8.3276 alpha=90.00 beta=90.00 gamma=90.00
Closest atoms and distances in Å follow each position.
Space group F-43m (No. 216)
One atom of each set of equivalent atoms:
1 Mn 0.0000 0.0000 0.0000 x4  12 Hg 3.45, 4 Al 3.61
2 Al 0.2500 0.2500 0.7500 x4  12 Hg 3.45, 4 Mn 3.61
3 Hg 0.1252 0.1252 0.3748 x16  6 Hg 2.94-2.95

=====

6.
Here is a relaxed structure of Pr4ZrN5 from Alexandria. Energies are from PBE.

The density of states at the Fermi level is 0.20 states/eV/atom. Its formation energy (no corrections) is -1.366 eV/atom.

Unit cell a=8.0161 b=8.0161 c=5.1875 alpha=90.00 beta=90.00 gamma=90.00
Closest atoms and distances in Å follow each position.
Space group I4 (No. 79)
One atom of each set of equivalent atoms:
1 Pr 0.1037 0.7002 0.0000 x8  6 N 2.51-2.76
2 Zr 0.0000 0.0000 0.5366 x2  5 N 2.10-2.34
3 N 0.0000 0.0000 0.9422 x2  1 Zr 2.10
4 N 0.0927 0.7240 0.5010 x8  1 Zr 2.34, 4 Pr 2.51-2.61

=====

7.
Here is a relaxed structure of Be2ZnCrMo from Alexandria. Energies are from PBE.

The density of states at the Fermi level is 0.29 states/eV/atom. The formation energy is 155.1 kJ per mole of atoms.

Unit cell a=4.1807 b=4.1807 c=4.6682 alpha=90.00 beta=90.00 gamma=90.00
Closest atoms and distances in Å follow each position.
Space group P4/mmm (No. 123)
One atom of each set of equivalent atoms:
1 Be 0.0000 0.5000 0.0000 x2  2 Mo 2.09
2 Zn 0.0000 0.0000 0.5000 x1  2 Mo 2.33
3 Cr 0.5000 0.5000 0.5000 x1  4 Zn 2.96, 8 Be 3.13
4 Mo 0.0000 0.0000 0.0000 x1  4 Be 2.09, 2 Zn 2.33

=====

8.
Here is a relaxed structure of PmCdNiIr from Alexandria. Energies are from PBE.

The density of states at the Fermi level is 0.41 states/eV/atom. The formation energy is -18.1 kJ per mole of atoms.

Unit cell a=6.7150 b=6.7150 c=6.7150 alpha=90.00 beta=90.00 gamma=90.00
Closest atoms and distances in Å follow each position.
Space group F-43m (No. 216)
One atom of each set of equivalent atoms:
1 Pm 0.0000 0.0000 0.0000 x4  4 Ni 2.91, 4 Ir 2.91
2 Cd 0.0000 0.0000 0.5000 x4  4 Ni 2.91, 4 Ir 2.91
3 Ni 0.2500 0.2500 0.2500 x4  4 Cd 2.91, 4 Pm 2.91
4 Ir 0.2500 0.2500 0.7500 x4  4 Cd 2.91, 4 Pm 2.91

=====

9.
Here is a relaxed structure of Sm6AlSe4 from Alexandria. Energies are from PBE.

The density of states at the Fermi level is 0.72 states/eV/atom. Its formation energy (no corrections) is -1.383 eV/atom.

Unit cell a=4.0966 b=13.8800 c=21.1728 alpha=90.00 beta=90.00 gamma=90.00
Closest atoms and distances in Å follow each position.
Space group Cmcm (No. 63)
One atom of each set of equivalent atoms:
1 Sm 0.0000 0.0000 0.0000 x4  6 Se 2.90-2.94
2 Sm 0.0000 0.1642 0.2500 x4  2 Se 2.87, 2 Al 3.07
3 Sm 0.0000 0.2731 0.5873 x8  5 Se 2.94-2.95
4 Sm 0.0000 0.4471 0.1654 x8  3 Se 2.91-2.95, 2 Al 3.18
5 Al 0.0000 0.1713 0.7500 x4  6 Sm 3.07-3.18
6 Se 0.0000 0.0863 0.1246 x8  6 Sm 2.87-2.95
7 Se 0.0000 0.3610 0.0398 x8  6 Sm 2.91-2.95

=====

10.
Here is a relaxed structure of PmHo3Hg from Alexandria. Energies are from PBE.

The density of states at the Fermi level is 1.09 states/eV/atom. The formation energy is -10.5 kJ per mole of atoms.

Unit cell a=11.2320 b=7.3457 c=7.9272 alpha=90.00 beta=110.75 gamma=90.00
Closest atoms and distances in Å follow each position.
Space group C2/m (No. 12)
One atom of each set of equivalent atoms:
1 Pm 0.0587 0.0000 0.2364 x4  2 Hg 3.41-3.42, 8 Ho 3.47-3.67, 1 Pm 3.50
2 Ho 0.0615 0.5000 0.2439 x4  2 Hg 3.23-3.25, 7 Ho 3.46-3.62
3 Ho 0.1601 0.2507 0.6410 x8  2 Hg 3.24, 5 Ho 3.46-3.50, 3 Pm 3.47-3.52
4 Hg 0.2394 0.5000 0.0005 x4  6 Ho 3.23-3.25, 2 Pm 3.41-3.42